1.
Crystalline LaZnCd2 at its relaxed geometry. Source: the Open Quantum Materials Database, functional PBE.

Properties
Calculated formation energy: -1.29 eV per formula unit

Cell: 7.2334 7.2334 7.2334 Å, 90.00 90.00 90.00°
Space group F-43m (No. 216)
Unique sites:
La 0.0000 0.0000 0.0000 x4
Zn 0.2500 0.2500 0.7500 x4
Cd 0.0000 0.0000 0.5000 x4
Cd 0.2500 0.2500 0.2500 x4



2.
Crystalline La2Zr3Cd2 at its relaxed geometry. Source: the Open Quantum Materials Database, functional PBE.

Properties
Calculated formation energy: -0.39 eV per formula unit

Cell: 5.2707 5.2707 23.2719 Å, 90.00 90.00 120.00°
Space group R3m (No. 160, hexagonal axes)
Unique sites:
La 0.0000 0.0000 0.0000 x3
La 0.0000 0.0000 0.4412 x3
Zr 0.0000 0.0000 0.2653 x3
Zr 0.0000 0.0000 0.5869 x3
Zr 0.0000 0.0000 0.8637 x3
Cd 0.0000 0.0000 0.1436 x3
Cd 0.0000 0.0000 0.7228 x3



3.
Crystalline Li3Cd at its relaxed geometry. Source: the Open Quantum Materials Database, functional PBE.

Properties
DFT total energy: -7.34 eV per formula unit

Cell: 4.7788 5.8730 4.9825 Å, 90.00 90.00 90.00°
Space group Pmmn (No. 59, origin choice 2)
Unique sites:
Li 0.2500 0.0012 0.1778 x4
Li 0.2500 0.7500 0.6661 x2
Cd 0.2500 0.2500 0.6830 x2



4.
Crystalline Li15Cd4 at its relaxed geometry. Source: the Open Quantum Materials Database, functional PBE.

Properties
DFT total energy: -34.42 eV per formula unit

Cell: 10.8014 10.8014 10.8014 Å, 90.00 90.00 90.00°
Space group I-43d (No. 220)
Unique sites:
Li 0.0000 0.2500 0.3750 x12
Li 0.0333 0.3909 0.1697 x48
Cd 0.0415 0.4585 0.5415 x16



5.
Crystalline Li3Cd7 at its relaxed geometry. Source: the Open Quantum Materials Database, functional PBE.

Properties
DFT total energy: -13.73 eV per formula unit

Cell: 7.2921 9.9020 10.8788 Å, 107.40 97.53 90.02°
Space group P-1 (No. 2)
Unique sites:
Li 0.0354 0.1047 0.3630 x2
Li 0.1234 0.4795 0.3532 x2
Li 0.1715 0.6604 0.0908 x2
Li 0.2680 0.0372 0.0579 x2
Li 0.3155 0.2400 0.8010 x2
Li 0.4599 0.8084 0.5071 x2
Cd 0.0196 0.1020 0.8675 x2
Cd 0.0533 0.7968 0.8567 x2
Cd 0.0826 0.7732 0.3573 x2
Cd 0.1517 0.4951 0.8294 x2
Cd 0.1913 0.3671 0.0599 x2
Cd 0.1955 0.6645 0.6091 x2
Cd 0.2048 0.3445 0.5526 x2
Cd 0.2494 0.0431 0.5598 x2
Cd 0.3491 0.2534 0.2809 x2
Cd 0.3516 0.9454 0.7927 x2
Cd 0.3599 0.9243 0.2854 x2
Cd 0.4305 0.5910 0.2696 x2
Cd 0.4481 0.7860 0.9817 x2
Cd 0.5000 0.5000 0.0000 x1
Cd 0.5000 0.5000 0.5000 x1



6.
Crystalline Li2Cd at its relaxed geometry. Source: the Open Quantum Materials Database, functional PBE.

Properties
DFT total energy: -4.94 eV per formula unit

Cell: 7.2501 7.2501 7.2501 Å, 90.00 90.00 90.00°
Space group Fd-3m (No. 227, origin choice 2)
Unique sites:
Li 0.0000 0.0000 0.0000 x16
Cd 0.1250 0.1250 0.6250 x8